10
Lattice="4.287 0.000 0.000 0.000 4.287 0.000 0.000 0.000 11.195" Properties=species:S:1:pos:R:3 comment="PBE-GGA Nd2TmGe3Pd4, relaxed" volume_a3_per_atom=20.58 magnetic_moment_mub_per_fu=0.000 formation_enthalpy_0k_kj_per_mol_atoms=-82.2 crystal_system=tetragonal dft_energy_ev_per_atom=-5.7147 dos_ef_per_ev_atom=0.77 pbc="T T T"
Nd 0.000 2.144 2.490
Nd 2.144 0.000 8.706
Tm 0.000 0.000 5.598
Ge 0.000 2.144 9.813
Ge 2.144 0.000 1.382
Ge 2.144 2.144 5.598
Pd 0.000 0.000 0.000
Pd 0.000 2.144 7.328
Pd 2.144 0.000 3.868
Pd 2.144 2.144 0.000

8
Lattice="-2.524 2.524 4.933 2.524 -2.524 4.933 2.524 2.524 -4.933" Properties=species:S:1:pos:R:3 comment="PBE-GGA TaInC2, relaxed" volume_a3_per_atom=15.71 magnetic_moment_mub_per_fu=0.000 formation_enthalpy_0k_kj_per_mol_atoms=44.6 crystal_system=tetragonal dft_energy_ev_per_atom=-7.7976 dos_ef_per_ev_atom=0.00 pbc="T T T"
Ta 0.000 0.000 0.000
Ta 0.000 2.524 2.466
In 2.524 0.000 2.466
In 0.000 0.000 4.933
C 3.785 1.078 -1.233
C 1.078 1.262 1.233
C -1.262 1.445 3.700
C 1.445 1.262 6.166